Entry 1:
! CaBe3Sb, optimized geometry, DFT PBE; values from VASP
! Energy relative to the lowest polymorph listed for this composition, meV per atom: 0.0
! SG: Pm-3m
! E_tot, eV per atom: -2.548
! Formation energy without anion corrections, eV per atom: 0.9122
&SYSTEM
  ibrav = 0, nat = 5, ntyp = 3
/
ATOMIC_SPECIES
Sb 121.76 Sb.upf
Be 9.01 Be.upf
Ca 40.08 Ca.upf
ATOMIC_POSITIONS angstrom
Sb 0.000 0.000 0.000
Be 0.450 -1.174 2.015
Be -2.332 -0.255 0.372
Be -0.032 2.049 1.201
Ca -1.914 0.619 3.588
CELL_PARAMETERS angstrom
-0.065 4.097 2.402
-4.664 -0.510 0.744
0.900 -2.349 4.030

***

Entry 2:
! CaBeSb3, optimized geometry, DFT PBE; values from VASP
! Energy relative to the lowest polymorph listed for this composition, meV per atom: 0.0
! SG: Pm-3m
! E_tot, eV per atom: -3.582
! Formation energy without anion corrections, eV per atom: 0.0369
&SYSTEM
  ibrav = 0, nat = 5, ntyp = 3
/
ATOMIC_SPECIES
Sb 121.76 Sb.upf
Be 9.01 Be.upf
Ca 40.08 Ca.upf
ATOMIC_POSITIONS angstrom
Sb -1.384 -0.872 1.939
Be 0.000 0.000 0.000
Ca -4.173 1.095 0.832
Sb -0.833 2.351 0.462
Sb -1.956 -0.385 -1.569
CELL_PARAMETERS angstrom
-3.912 -0.769 -3.138
-2.768 -1.744 3.878
-1.666 4.702 0.925

***

Among the records above, which one has the lowest E_tot? CaBeSb3

***

Look up the formation energy without anion corrections of the first one. 0.9122 eV per atom

***

Which of these has the highest formation energy without anion corrections? CaBe3Sb